1.
This record from Alexandria via LeMat-Bulk describes a relaxed RbTe4Au crystal. The functional is PBE.

Output
VASP energy: -18.8 eV/f.u.
formation energy from raw total energies: -0.328 eV per atom
density of states at the Fermi level: 0.013 states/eV per atom
symmetry: No. 15

Lattice parameters (Å, degrees): 8.256 11.998 16.757 157.77 104.26 90.00
Sites, in units of the cell vectors:
1 Rb 0.646 0.250 0.000
2 Rb 0.354 0.750 0.000
3 Te 0.874 0.831 0.614
4 Te 0.740 0.331 0.614
5 Te 0.735 0.932 0.990
6 Te 0.255 0.432 0.990
7 Te 0.265 0.068 0.010
8 Te 0.745 0.568 0.010
9 Te 0.126 0.169 0.386
10 Te 0.260 0.669 0.386
11 Au 0.000 0.500 0.500
12 Au 0.500 0.000 0.500


2.
This record from Alexandria via LeMat-Bulk describes a relaxed SmY3Ni8 crystal. The functional is PBE.

Output
VASP energy: -75.2 eV/f.u.
density of states at the Fermi level: 0.568 states/eV per atom
symmetry: No. 160

Lattice parameters (Å, degrees): 5.092 5.092 8.841 73.26 73.26 60.00
Sites, in units of the cell vectors:
1 Sm 0.875 0.875 0.375
2 Y 0.375 0.375 0.875
3 Y 0.000 0.000 0.000
4 Y 0.500 0.500 0.501
5 Ni 0.938 0.438 0.186
6 Ni 0.436 0.938 0.689
7 Ni 0.438 0.438 0.186
8 Ni 0.938 0.938 0.689
9 Ni 0.187 0.187 0.438
10 Ni 0.688 0.688 0.937
11 Ni 0.438 0.938 0.186
12 Ni 0.938 0.436 0.689